1.
# KSbO4

A relaxed KSbO4 crystal (PBE, the Alexandria database).

CIF file:
```
data_KSbO4
_chemical_formula_sum 'K4 Sb4 O16'
_space_group_name_H-M_alt 'C 1 2/c 1'
_space_group_IT_number 15
_cell_length_a 11.315
_cell_length_b 5.464
_cell_length_c 5.785
_cell_angle_alpha 90.00
_cell_angle_beta 116.68
_cell_angle_gamma 90.00
loop_
_space_group_symop_operation_xyz
'x,y,z'
'-x,-y,-z'
'-x,y,-z+1/2'
'x,-y,z+1/2'
'x+1/2,y+1/2,z'
'-x+1/2,-y+1/2,-z'
'-x+1/2,y+1/2,-z+1/2'
'x+1/2,-y+1/2,z+1/2'
loop_
_atom_site_label
_atom_site_type_symbol
_atom_site_fract_x
_atom_site_fract_y
_atom_site_fract_z
K1 K 0.000 0.195 0.250
Sb1 Sb 0.250 0.250 0.000
O1 O 0.050 0.325 0.884
O2 O 0.218 0.041 0.691
```

Values from the calculation:
- raw formation energy (eV/atom) = -1.109
- M_tot (μB/cell) = 0.00

2.
# Zr2TcC

A relaxed Zr2TcC crystal (PBE, the Alexandria database).

CIF file:
```
data_Zr2TcC
_chemical_formula_sum 'Zr8 Tc4 C4'
_space_group_name_H-M_alt 'I -4 2 d'
_space_group_IT_number 122
_space_group_name_Hall 'I -4 2bw'
_cell_length_a 6.585
_cell_length_b 6.585
_cell_length_c 6.366
_cell_angle_alpha 90.00
_cell_angle_beta 90.00
_cell_angle_gamma 90.00
loop_
_atom_site_label
_atom_site_type_symbol
_atom_site_fract_x
_atom_site_fract_y
_atom_site_fract_z
Zr1 Zr 0.190 0.250 0.125
Tc1 Tc 0.000 0.000 0.500
C1 C 0.000 0.000 0.000
```

Values from the calculation:
- formation enthalpy at 0 K (meV per atom) = 333
- M_tot (μB/cell) = 0.00

3.
# ThNp2Pd2S6

A relaxed ThNp2Pd2S6 crystal (PBE, the Alexandria database).

CIF file:
```
data_ThNp2Pd2S6
_chemical_formula_sum 'Th1 Np2 Pd2 S6'
_space_group_name_H-M_alt 'P -3 1 m'
_space_group_IT_number 162
_space_group_name_Hall '-P 3 2'
_cell_length_a 6.8939
_cell_length_b 6.8939
_cell_length_c 6.0512
_cell_angle_alpha 90.00
_cell_angle_beta 90.00
_cell_angle_gamma 120.00
loop_
_atom_site_label
_atom_site_type_symbol
_atom_site_fract_x
_atom_site_fract_y
_atom_site_fract_z
Th1 Th 0.0000 0.0000 0.0000
Np1 Np 0.3333 0.6667 0.0000
Pd1 Pd 0.3333 0.6667 0.5000
S1 S 0.0000 0.3457 0.2471
```

Values from the calculation:
- raw formation energy (eV/atom) = -1.091
- M_tot (μB/cell) = 5.96

4.
# YHfCoRh

A relaxed YHfCoRh crystal (PBE, the Alexandria database).

CIF file:
```
data_YHfCoRh
_chemical_formula_sum 'Y4 Hf4 Co4 Rh4'
_space_group_name_H-M_alt 'F -4 3 m'
_space_group_IT_number 216
_space_group_name_Hall 'F -4 2 3'
_cell_length_a 6.605
_cell_length_b 6.605
_cell_length_c 6.605
_cell_angle_alpha 90.00
_cell_angle_beta 90.00
_cell_angle_gamma 90.00
loop_
_atom_site_label
_atom_site_type_symbol
_atom_site_fract_x
_atom_site_fract_y
_atom_site_fract_z
Y1 Y 0.000 0.000 0.000
Hf1 Hf 0.000 0.000 0.500
Co1 Co 0.250 0.250 0.750
Rh1 Rh 0.250 0.250 0.250
```

Values from the calculation:
- formation enthalpy at 0 K (meV per atom) = -488
- M_tot (μB/cell) = 0.00

5.
# Cr2H2Ir

A relaxed Cr2H2Ir crystal (PBE, the Alexandria database).

CIF file:
```
data_Cr2H2Ir
_chemical_formula_sum 'Cr4 H4 Ir2'
_space_group_name_H-M_alt 'I 4/m m m'
_space_group_IT_number 139
_space_group_name_Hall '-I 4 2'
_cell_length_a 2.735
_cell_length_b 2.735
_cell_length_c 11.648
_cell_angle_alpha 90.00
_cell_angle_beta 90.00
_cell_angle_gamma 90.00
loop_
_atom_site_label
_atom_site_type_symbol
_atom_site_fract_x
_atom_site_fract_y
_atom_site_fract_z
Cr1 Cr 0.000 0.000 0.154
H1 H 0.000 0.500 0.250
Ir1 Ir 0.000 0.000 0.500
```

Values from the calculation:
- polymorph energy (0 for the lowest one) (meV/atom) = 0.0
- M_tot (μB/cell) = 3.95

6.
# ThSc2Cd3

A relaxed ThSc2Cd3 crystal (PBE, the Alexandria database).

CIF file:
```
data_ThSc2Cd3
_chemical_formula_sum 'Th1 Sc2 Cd3'
_space_group_name_H-M_alt 'P 4/m m m'
_space_group_IT_number 123
_space_group_name_Hall '-P 4 2'
_cell_length_a 3.461
_cell_length_b 3.461
_cell_length_c 11.999
_cell_angle_alpha 90.00
_cell_angle_beta 90.00
_cell_angle_gamma 90.00
loop_
_atom_site_label
_atom_site_type_symbol
_atom_site_fract_x
_atom_site_fract_y
_atom_site_fract_z
Th1 Th 0.000 0.000 0.000
Sc1 Sc 0.000 0.000 0.348
Cd1 Cd 0.500 0.500 0.196
Cd2 Cd 0.500 0.500 0.500
```

Values from the calculation:
- formation enthalpy at 0 K (meV per atom) = -226
- M_tot (μB/cell) = 0.00

What is the M_tot in the fifth record?
3.95 μB/cell

What did the third record say?
# ThNp2Pd2S6

A relaxed ThNp2Pd2S6 crystal (PBE, the Alexandria database).

CIF file:
```
data_ThNp2Pd2S6
_chemical_formula_sum 'Th1 Np2 Pd2 S6'
_space_group_name_H-M_alt 'P -3 1 m'
_space_group_IT_number 162
_space_group_name_Hall '-P 3 2'
_cell_length_a 6.8939
_cell_length_b 6.8939
_cell_length_c 6.0512
_cell_angle_alpha 90.00
_cell_angle_beta 90.00
_cell_angle_gamma 120.00
loop_
_atom_site_label
_atom_site_type_symbol
_atom_site_fract_x
_atom_site_fract_y
_atom_site_fract_z
Th1 Th 0.0000 0.0000 0.0000
Np1 Np 0.3333 0.6667 0.0000
Pd1 Pd 0.3333 0.6667 0.5000
S1 S 0.0000 0.3457 0.2471
```

Values from the calculation:
- raw formation energy (eV/atom) = -1.091
- M_tot (μB/cell) = 5.96

Number 1 is which compound?
KSbO4